First-principles (PBE) data for an optimized crystal structure of Ga2Ir, as listed in Alexandria via LeMat-Bulk.

mass density = 10.5 g/cm³

```
data_Ga2Ir
_chemical_formula_sum 'Ga16 Ir8'
_cell_length_a 12.3639
_cell_length_b 5.8732
_cell_length_c 5.7901
_cell_angle_alpha 90.00
_cell_angle_beta 90.00
_cell_angle_gamma 90.00
_space_group_name_H-M_alt 'C m c e'
_space_group_IT_number 64
_space_group_name_Hall '-C 2ac 2'
loop_
_atom_site_label
_atom_site_fract_x
_atom_site_fract_y
_atom_site_fract_z
_atom_site_occupancy
Ga1 0.0000 0.2470 0.2469 1
Ga2 0.2500 0.2500 0.2500 1
Ir1 0.1204 0.0000 0.5000 1
```

***

First-principles (PBE) data for an optimized crystal structure of GaIr, as listed in Alexandria via LeMat-Bulk.

mass density = 13.3 g/cm³

```
data_GaIr
_chemical_formula_sum 'Ga6 Ir6'
_cell_length_a 4.1997
_cell_length_b 8.3624
_cell_length_c 5.5960
_cell_angle_alpha 90.00
_cell_angle_beta 90.00
_cell_angle_gamma 90.00
_space_group_name_H-M_alt 'A m m 2'
_space_group_IT_number 38
_space_group_name_Hall 'A 2 -2'
loop_
_atom_site_label
_atom_site_fract_x
_atom_site_fract_y
_atom_site_fract_z
_atom_site_occupancy
Ga1 0.0000 0.0000 0.0000 1
Ga2 0.5000 0.1883 0.6411 1
Ir1 0.0000 0.2186 0.3536 1
Ir2 0.5000 0.0000 0.2925 1
```

***

First-principles (PBE) data for an optimized crystal structure of GaIr, as listed in Alexandria via LeMat-Bulk.

mass density = 8.8 g/cm³

```
data_GaIr
_chemical_formula_sum 'Ga6 Ir6'
_cell_length_a 9.0007
_cell_length_b 9.0007
_cell_length_c 4.2408
_cell_angle_alpha 90.00
_cell_angle_beta 90.00
_cell_angle_gamma 120.00
_space_group_name_H-M_alt 'P 63/m'
_space_group_IT_number 176
_space_group_name_Hall '-P 6c'
loop_
_atom_site_label
_atom_site_fract_x
_atom_site_fract_y
_atom_site_fract_z
_atom_site_occupancy
Ga1 0.1490 0.3904 0.2500 1
Ir1 0.0014 0.4298 0.7500 1
```

***

First-principles (PBE) data for an optimized crystal structure of GaIr3, as listed in Alexandria via LeMat-Bulk.

mass density = 18.5 g/cm³

```
data_GaIr3
_chemical_formula_sum 'Ga2 Ir6'
_cell_length_a 3.9186
_cell_length_b 3.9186
_cell_length_c 7.5755
_cell_angle_alpha 90.00
_cell_angle_beta 90.00
_cell_angle_gamma 90.00
_space_group_name_H-M_alt 'I 4/m m m'
_space_group_IT_number 139
_space_group_name_Hall '-I 4 2'
loop_
_atom_site_label
_atom_site_fract_x
_atom_site_fract_y
_atom_site_fract_z
_atom_site_occupancy
Ga1 0.0000 0.0000 0.0000 1
Ir1 0.0000 0.0000 0.5000 1
Ir2 0.0000 0.5000 0.2500 1
```

***

First-principles (PBE) data for an optimized crystal structure of GaIr3, as listed in Alexandria via LeMat-Bulk.

mass density = 18.4 g/cm³

```
data_GaIr3
_chemical_formula_sum 'Ga2 Ir6'
_cell_length_a 2.7744
_cell_length_b 8.7542
_cell_length_c 4.7946
_cell_angle_alpha 90.00
_cell_angle_beta 90.00
_cell_angle_gamma 90.00
_space_group_name_H-M_alt 'I m m 2'
_space_group_IT_number 44
_space_group_name_Hall 'I 2 -2'
loop_
_atom_site_label
_atom_site_fract_x
_atom_site_fract_y
_atom_site_fract_z
_atom_site_occupancy
Ga1 0.0000 0.0000 0.0000 1
Ir1 0.0000 0.2529 0.6648 1
Ir2 0.0000 0.5000 0.0012 1
```

***

First-principles (PBE) data for an optimized crystal structure of GaIr, as listed in Alexandria via LeMat-Bulk.

mass density = 7.8 g/cm³

```
data_GaIr
_chemical_formula_sum 'Ga8 Ir8'
_cell_length_a 7.6389
_cell_length_b 7.6389
_cell_length_c 7.6389
_cell_angle_alpha 90.00
_cell_angle_beta 90.00
_cell_angle_gamma 90.00
_space_group_name_H-M_alt 'I -4 3 m'
_space_group_IT_number 217
_space_group_name_Hall 'I -4 2 3'
loop_
_atom_site_label
_atom_site_fract_x
_atom_site_fract_y
_atom_site_fract_z
_atom_site_occupancy
Ga1 0.1957 0.1957 0.1957 1
Ir1 0.1233 0.1233 0.8767 1
```

***

First-principles (PBE) data for an optimized crystal structure of Ga7Ir5, as listed in Alexandria via LeMat-Bulk.

mass density = 12.5 g/cm³

```
data_Ga7Ir5
_chemical_formula_sum 'Ga14 Ir10'
_cell_length_a 11.9892
_cell_length_b 2.8782
_cell_length_c 11.2289
_cell_angle_alpha 90.00
_cell_angle_beta 97.76
_cell_angle_gamma 90.00
_space_group_name_H-M_alt 'C 1 2/m 1'
_space_group_IT_number 12
_space_group_name_Hall '-C 2y'
loop_
_atom_site_label
_atom_site_fract_x
_atom_site_fract_y
_atom_site_fract_z
_atom_site_occupancy
Ga1 0.0000 0.0000 0.0000 1
Ga2 0.0257 0.5000 0.7404 1
Ga3 0.1760 0.0000 0.5738 1
Ga4 0.2098 0.5000 0.1716 1
Ir1 0.0000 0.5000 0.5000 1
Ir2 0.1475 0.0000 0.3392 1
Ir3 0.1551 0.5000 0.9353 1
```

***

First-principles (PBE) data for an optimized crystal structure of GaIr, as listed in Alexandria via LeMat-Bulk.

mass density = 10.8 g/cm³

```
data_GaIr
_chemical_formula_sum 'Ga8 Ir8'
_cell_length_a 8.9252
_cell_length_b 8.9252
_cell_length_c 4.0402
_cell_angle_alpha 90.00
_cell_angle_beta 90.00
_cell_angle_gamma 90.00
_space_group_name_H-M_alt 'I 4/m'
_space_group_IT_number 87
_space_group_name_Hall '-I 4'
loop_
_atom_site_label
_atom_site_fract_x
_atom_site_fract_y
_atom_site_fract_z
_atom_site_occupancy
Ga1 0.1434 0.7708 0.0000 1
Ir1 0.0892 0.3810 0.0000 1
```

***

| no. | calculated formation energy (eV/atom) |
| --- | --- |
| 1 | -0.362 |
| 2 | -0.213 |
| 3 | 0.258 |
| 4 | -0.126 |
| 5 | -0.134 |
| 6 | 0.424 |
| 7 | -0.328 |
| 8 | -0.138 |